[1]
Material: HoIn2HgTe4
Method: DFT, PBE
State: relaxed Values from VASP.

Structure (Quantum ESPRESSO input):
```
&SYSTEM
  ibrav = 0, nat = 8, ntyp = 4
/
ATOMIC_SPECIES
Ho 164.93 Ho.upf
In 114.82 In.upf
Hg 200.59 Hg.upf
Te 127.60 Te.upf
CELL_PARAMETERS angstrom
7.7849 0.0000 0.0000
0.0000 4.3639 0.0000
-2.7367 0.0000 7.5227
ATOMIC_POSITIONS crystal
Ho 0.0000 0.0000 0.0000
In 0.5000 0.0000 0.5000
In 0.5000 0.5000 0.0000
Hg 0.0000 0.5000 0.5000
Te 0.2417 0.5000 0.2295
Te 0.2493 0.0000 0.7644
Te 0.7507 0.0000 0.2356
Te 0.7583 0.5000 0.7705
```

Results
energy relative to the elements, uncorrected = -415 kJ/mol of formula units
total DFT energy (no corrections) = -27.23 eV/f.u.

=====

[2]
Material: HoThInHg
Method: DFT, PBE
State: relaxed Values from VASP.

Structure (Quantum ESPRESSO input):
```
&SYSTEM
  ibrav = 0, nat = 16, ntyp = 4
/
ATOMIC_SPECIES
Ho 164.93 Ho.upf
Th 232.04 Th.upf
In 114.82 In.upf
Hg 200.59 Hg.upf
CELL_PARAMETERS angstrom
7.6002 0.0000 0.0000
0.0000 7.6002 0.0000
0.0000 0.0000 7.6002
ATOMIC_POSITIONS crystal
Ho 0.0000 0.0000 0.0000
Ho 0.0000 0.5000 0.5000
Ho 0.5000 0.0000 0.5000
Ho 0.5000 0.5000 0.0000
Th 0.0000 0.0000 0.5000
Th 0.0000 0.5000 0.0000
Th 0.5000 0.0000 0.0000
Th 0.5000 0.5000 0.5000
In 0.2500 0.2500 0.2500
In 0.2500 0.7500 0.7500
In 0.7500 0.2500 0.7500
In 0.7500 0.7500 0.2500
Hg 0.2500 0.2500 0.7500
Hg 0.2500 0.7500 0.2500
Hg 0.7500 0.2500 0.2500
Hg 0.7500 0.7500 0.7500
```

Results
DFT formation energy = -324 meV/atom
total DFT energy (no corrections) = -16.33 eV/f.u.

=====

[3]
Material: Ho2ThIn2Hg2
Method: DFT, PBE
State: relaxed Values from VASP.

Structure (Quantum ESPRESSO input):
```
&SYSTEM
  ibrav = 0, nat = 7, ntyp = 4
/
ATOMIC_SPECIES
Ho 164.93 Ho.upf
Th 232.04 Th.upf
In 114.82 In.upf
Hg 200.59 Hg.upf
CELL_PARAMETERS angstrom
2.4835 1.4338 8.8122
-2.4835 1.4338 8.8122
0.0000 -2.8677 8.8122
ATOMIC_POSITIONS crystal
Ho 0.1317 0.1317 0.1317
Ho 0.8683 0.8683 0.8683
Th 0.0000 0.0000 0.0000
In 0.2681 0.2681 0.2681
In 0.7319 0.7319 0.7319
Hg 0.4299 0.4299 0.4299
Hg 0.5701 0.5701 0.5701
```

Results
DFT formation energy = -200 meV/atom
total DFT energy (no corrections) = -24.05 eV/f.u.

=====

[4]
Material: Ho3Tl2In3Hg
Method: DFT, PBE
State: relaxed Values from VASP.

Structure (Quantum ESPRESSO input):
```
&SYSTEM
  ibrav = 0, nat = 9, ntyp = 4
/
ATOMIC_SPECIES
Ho 164.93 Ho.upf
Tl 204.38 Tl.upf
In 114.82 In.upf
Hg 200.59 Hg.upf
CELL_PARAMETERS angstrom
8.5548 0.0000 0.0000
-4.2774 7.4087 0.0000
0.0000 0.0000 3.6930
ATOMIC_POSITIONS crystal
Ho 0.0000 0.3638 0.0000
Ho 0.3638 0.0000 0.0000
Ho 0.6362 0.6362 0.0000
Tl 0.3333 0.6667 0.5000
Tl 0.6667 0.3333 0.5000
In 0.0000 0.7133 0.5000
In 0.2867 0.2867 0.5000
In 0.7133 0.0000 0.5000
Hg 0.0000 0.0000 0.0000
```

Results
DFT formation energy = -283 meV/atom
total DFT energy (no corrections) = -29.53 eV/f.u.

=====

[5]
Material: Ho4TlInHg2
Method: DFT, PBE
State: relaxed Values from VASP.

Structure (Quantum ESPRESSO input):
```
&SYSTEM
  ibrav = 0, nat = 8, ntyp = 4
/
ATOMIC_SPECIES
Ho 164.93 Ho.upf
Tl 204.38 Tl.upf
In 114.82 In.upf
Hg 200.59 Hg.upf
CELL_PARAMETERS angstrom
2.6413 1.5250 8.6397
-2.6413 1.5250 8.6397
0.0000 -3.0500 8.6397
ATOMIC_POSITIONS crystal
Ho 0.1251 0.1251 0.1251
Ho 0.3752 0.3752 0.3752
Ho 0.6248 0.6248 0.6248
Ho 0.8749 0.8749 0.8749
Tl 0.0000 0.0000 0.0000
In 0.5000 0.5000 0.5000
Hg 0.2482 0.2482 0.2482
Hg 0.7518 0.7518 0.7518
```

Results
DFT formation energy = -430 meV/atom
total DFT energy (no corrections) = -27.46 eV/f.u.

=====

[6]
Material: HoTm2In2Hg2
Method: DFT, PBE
State: relaxed Values from VASP.

Structure (Quantum ESPRESSO input):
```
&SYSTEM
  ibrav = 0, nat = 7, ntyp = 4
/
ATOMIC_SPECIES
Ho 164.93 Ho.upf
Tm 168.93 Tm.upf
In 114.82 In.upf
Hg 200.59 Hg.upf
CELL_PARAMETERS angstrom
2.4649 1.4231 8.6965
-2.4649 1.4231 8.6965
0.0000 -2.8462 8.6965
ATOMIC_POSITIONS crystal
Ho 0.0000 0.0000 0.0000
Tm 0.1317 0.1317 0.1317
Tm 0.8683 0.8683 0.8683
In 0.2690 0.2690 0.2690
In 0.7310 0.7310 0.7310
Hg 0.4305 0.4305 0.4305
Hg 0.5695 0.5695 0.5695
```

Results
DFT formation energy = -238 meV/atom
total DFT energy (no corrections) = -21.27 eV/f.u.

=====

[7]
Material: Y2HoIn2Hg2
Method: DFT, PBE
State: relaxed Values from VASP.

Structure (Quantum ESPRESSO input):
```
&SYSTEM
  ibrav = 0, nat = 7, ntyp = 4
/
ATOMIC_SPECIES
Y 88.91 Y.upf
Ho 164.93 Ho.upf
In 114.82 In.upf
Hg 200.59 Hg.upf
CELL_PARAMETERS angstrom
2.4689 1.4254 8.8635
-2.4689 1.4254 8.8635
0.0000 -2.8509 8.8635
ATOMIC_POSITIONS crystal
Y 0.1303 0.1303 0.1303
Y 0.8697 0.8697 0.8697
Ho 0.0000 0.0000 0.0000
In 0.2701 0.2701 0.2701
In 0.7299 0.7299 0.7299
Hg 0.4245 0.4245 0.4245
Hg 0.5755 0.5755 0.5755
```

Results
DFT formation energy = -257 meV/atom
total DFT energy (no corrections) = -25.39 eV/f.u.

=====

[8]
Material: YHo2In2Hg2
Method: DFT, PBE
State: relaxed Values from VASP.

Structure (Quantum ESPRESSO input):
```
&SYSTEM
  ibrav = 0, nat = 7, ntyp = 4
/
ATOMIC_SPECIES
Y 88.91 Y.upf
Ho 164.93 Ho.upf
In 114.82 In.upf
Hg 200.59 Hg.upf
CELL_PARAMETERS angstrom
2.4672 1.4244 8.8198
-2.4672 1.4244 8.8198
0.0000 -2.8488 8.8198
ATOMIC_POSITIONS crystal
Y 0.0000 0.0000 0.0000
Ho 0.1315 0.1315 0.1315
Ho 0.8685 0.8685 0.8685
In 0.2687 0.2687 0.2687
In 0.7313 0.7313 0.7313
Hg 0.4284 0.4284 0.4284
Hg 0.5716 0.5716 0.5716
```

Results
DFT formation energy = -263 meV/atom
total DFT energy (no corrections) = -23.54 eV/f.u.